(1)
Be2AlRu2 after structural relaxation. Source: the Alexandria database, functional PBEsol.

Values from the calculation:
Offset from the most stable computed form (eV per atom): 0.486
SG: I4/mmm
Energy relative to the elements (eV per atom): -0.0446

Lattice parameters (Å, degrees): 4.4611 4.4611 4.4611 123.64 123.64 83.81
Last column: nearest neighbours and their distance in Å.
Fractional coordinates of all 5 atoms:
Be  0.1521  0.1521  0.0000  1 Be 2.02, 4 Ru 2.20
Be  0.8479  0.8479  0.0000  1 Be 2.02, 4 Ru 2.20
Al  0.5000  0.5000  0.0000  2 Be 2.31
Ru  0.2500  0.7500  0.5000  4 Be 2.20
Ru  0.7500  0.2500  0.5000  4 Be 2.20



(2)
MnZnPt2 after structural relaxation. Source: the Alexandria database, functional PBEsol.

Values from the calculation:
SG: Cmmm
Energy relative to the elements (eV per atom): -0.3897

Lattice parameters (Å, degrees): 4.4670 4.4670 2.8761 90.00 90.00 101.32
Last column: nearest neighbours and their distance in Å.
Fractional coordinates of all 4 atoms:
Mn  0.0000  0.0000  0.0000  8 Pt 2.66, 2 Zn 2.83, 2 Mn 2.88
Zn  0.5000  0.5000  0.0000  8 Pt 2.66, 2 Mn 2.83, 2 Zn 2.88
Pt  0.0000  0.5000  0.5000  4 Mn 2.66, 4 Zn 2.66, 4 Pt 2.83-2.88
Pt  0.5000  0.0000  0.5000  4 Mn 2.66, 4 Zn 2.66, 4 Pt 2.83-2.88



(3)
NaSn3P after structural relaxation. Source: the Alexandria database, functional PBEsol.

Values from the calculation:
SG: Pm-3m
Energy relative to the elements (eV per atom): 0.2892

Lattice parameters (Å, degrees): 5.2150 5.2150 5.2150 90.00 90.00 90.00
Last column: nearest neighbours and their distance in Å.
Fractional coordinates of all 5 atoms:
Na  0.0000  0.0000  0.0000  12 Sn 3.69
Sn  0.0000  0.5000  0.5000  2 P 2.61
Sn  0.5000  0.0000  0.5000  2 P 2.61
Sn  0.5000  0.5000  0.0000  2 P 2.61
P  0.5000  0.5000  0.5000  6 Sn 2.61



(4)
SrInAg2Hg after structural relaxation. Source: the Alexandria database, functional PBEsol.

Values from the calculation:
SG: P4/mmm
Energy relative to the elements (eV per atom): 0.7480

Lattice parameters (Å, degrees): 5.6313 5.6313 5.8717 90.00 90.00 90.00
Last column: nearest neighbours and their distance in Å.
Fractional coordinates of all 5 atoms:
Sr  0.0000  0.0000  0.0000  4 Ag 2.82, 2 Hg 2.94
In  0.5000  0.5000  0.5000  4 Hg 3.98, 8 Ag 4.07
Ag  0.0000  0.5000  0.0000  2 Sr 2.82
Ag  0.5000  0.0000  0.0000  2 Sr 2.82
Hg  0.0000  0.0000  0.5000  2 Sr 2.94



(5)
LaScBr2 after structural relaxation. Source: the Alexandria database, functional PBEsol.

Values from the calculation:
Offset from the most stable computed form (eV per atom): 0.000
SG: R3m

Lattice parameters (Å, degrees): 10.1237 10.1237 10.1237 21.36 21.36 21.36
Last column: nearest neighbours and their distance in Å.
Fractional coordinates of all 4 atoms:
La  0.0000  0.0000  0.0000  3 Br 3.00
Sc  0.7612  0.7612  0.7612  3 Br 2.75
Br  0.2634  0.2634  0.2634  3 La 3.00
Br  0.4850  0.4850  0.4850  3 Sc 2.75



(6)
Li2Ca after structural relaxation. Source: the Alexandria database, functional PBEsol.

Values from the calculation:
Offset from the most stable computed form (eV per atom): 0.067
SG: P6/mmm
Energy relative to the elements (eV per atom): 0.0515

Lattice parameters (Å, degrees): 5.1204 5.1204 3.7310 90.00 90.00 120.00
Last column: nearest neighbours and their distance in Å.
Fractional coordinates of all 3 atoms:
Li  0.3333  0.6667  0.0000  3 Li 2.96
Li  0.6667  0.3333  0.0000  3 Li 2.96
Ca  0.0000  0.0000  0.5000  12 Li 3.50, 2 Ca 3.73



| no. | DOS at the Fermi energy (states/eV/atom) |
| --- | --- |
| 1 | 0.541 |
| 2 | 0.395 |
| 3 | 0.861 |
| 4 | 0.333 |
| 5 | 0.449 |
| 6 | 0.666 |